Material: U4As3Se
Method: DFT, PBE-GGA
State: relaxed

Total magnetization, μB/f.u.: 5.15
Raw formation energy, meV/atom: -786

```
U4As3Se
1.0
-2.9102 2.5864 -0.9111
-2.2751 -3.8395 -3.6322
-4.6647 -3.0745 6.1718
U As Se
4 3 1
Direct
0.5000 0.0000 0.2521
0.0000 0.5000 0.5000
0.0000 0.5000 0.0000
0.5000 0.0000 0.7479
0.0000 0.0000 0.5000
0.5000 0.5000 0.2503
0.5000 0.5000 0.7497
0.0000 0.0000 0.0000
```